Crystalline Sm4SiAsS2 at its relaxed geometry. Source: Alexandria, functional PBE.

Unit cell a=4.133 b=7.128 c=7.167 alpha=70.50 beta=90.00 gamma=90.00
Element x y z (fractional)
S  0.500  0.000  0.500
Sm  0.000  0.749  0.747
Sm  0.000  0.252  0.253
Sm  0.500  0.251  0.747
As  0.500  0.500  0.000
Si  0.000  0.500  0.500
S  0.000  0.000  0.000
Sm  0.500  0.749  0.253

Values from the calculation:
M_tot = 0.00 μB per cell
Total DFT energy (no corrections) = -6.255 eV per atom

Crystalline FeCoNiH3 at its relaxed geometry. Source: Alexandria, functional PBE.

Unit cell a=2.586 b=5.094 c=6.257 alpha=79.93 beta=90.00 gamma=90.00
Each line ends with the local moment (μB).
Element x y z (fractional)
Ni  0.750  0.751  0.468  0.29
Fe  0.250  0.091  0.159  2.38
H  0.750  0.122  0.395  -0.01
H  0.250  0.878  0.605  -0.01
H  0.250  0.629  0.873  -0.01
Co  0.250  0.592  0.153  0.92
H  0.750  0.815  0.171  -0.01
Co  0.750  0.408  0.847  0.92
H  0.250  0.185  0.829  -0.01
H  0.750  0.371  0.127  -0.01
Fe  0.750  0.909  0.841  2.38
Ni  0.250  0.249  0.532  0.29

Values from the calculation:
M_tot = 7.03 μB per cell
Total DFT energy (no corrections) = -5.156 eV per atom

Crystalline Nd12Tm7Mg at its relaxed geometry. Source: Alexandria, functional PBE.

Unit cell a=8.834 b=8.834 c=8.834 alpha=98.80 beta=98.80 gamma=98.80
Element x y z (fractional)
Tm  0.092  0.668  0.092
Nd  0.086  0.351  0.353
Tm  0.908  0.332  0.908
Nd  0.499  0.238  0.762
Nd  0.353  0.086  0.351
Nd  0.762  0.499  0.238
Nd  0.501  0.762  0.238
Tm  0.500  0.500  0.500
Nd  0.238  0.762  0.499
Tm  0.092  0.092  0.668
Tm  0.332  0.908  0.908
Nd  0.914  0.649  0.647
Tm  0.668  0.092  0.092
Nd  0.649  0.647  0.914
Nd  0.647  0.914  0.649
Tm  0.908  0.908  0.332
Nd  0.762  0.238  0.501
Mg  0.000  0.000  0.000
Nd  0.238  0.501  0.762
Nd  0.351  0.353  0.086

Values from the calculation:
Formation energy from the elements = 0.08 eV per atom
Offset from the most stable computed form = 0.00 kcal/mol of atoms
M_tot = 0.00 μB per cell
Total DFT energy (no corrections) = -4.426 eV per atom

Crystalline ZrBe at its relaxed geometry. Source: Alexandria, functional PBE.

Unit cell a=5.115 b=5.060 c=9.853 alpha=90.00 beta=90.00 gamma=90.00
Element x y z (fractional)
Be  0.398  0.117  0.025
Be  0.602  0.617  0.475
Zr  0.104  0.386  0.435
Zr  0.654  0.373  0.232
Zr  0.604  0.114  0.565
Zr  0.896  0.886  0.065
Zr  0.846  0.627  0.732
Be  0.659  0.124  0.851
Zr  0.346  0.873  0.268
Be  0.159  0.376  0.149
Be  0.841  0.876  0.351
Zr  0.396  0.614  0.935
Be  0.102  0.883  0.525
Zr  0.154  0.127  0.768
Be  0.341  0.624  0.649
Be  0.898  0.383  0.975

Values from the calculation:
Formation energy from the elements = -0.06 eV per atom
M_tot = 0.00 μB per cell
Total DFT energy (no corrections) = -6.194 eV per atom